No. 1
A plane-wave DFT calculation with GGA-PBE was carried out for crystalline La4TcBrCl2 at its relaxed geometry.

Summary:
- DFT total energy: -5.528 eV per atom
- Symmetry: No. 10
- Spin magnetization: 0.0 μB per formula unit
- Uncorrected formation energy: -1.10 eV per atom

Structure (extended XYZ):
```
8
Lattice="4.126 0.000 0.000 0.000 7.363 -0.288 0.000 2.487 7.473" Properties=species:S:1:pos:R:3 pbc="T T T"
La 0.000 7.237 5.097
La 4.126 2.613 2.089
La 2.063 6.065 1.918
La 2.063 3.785 5.267
Tc 0.000 4.925 3.593
Br 2.063 3.681 -0.144
Cl 0.000 2.487 7.473
Cl 2.063 1.244 3.737
```

No. 2
A plane-wave DFT calculation with GGA-PBE was carried out for crystalline Li2Dy2Mg15 at its relaxed geometry.

Summary:
- DFT total energy: -1.949 eV per atom
- Symmetry: No. 166
- Spin magnetization: 0.0 μB per formula unit
- Calculated formation energy: -0.005 eV per atom

Structure (extended XYZ):
```
19
Lattice="-7.229 1.892 -2.082 -3.351 -0.845 6.945 0.193 7.444 2.174" Properties=species:S:1:pos:R:3 pbc="T T T"
Li -1.010 0.826 0.685
Li -9.377 7.665 6.353
Dy -3.442 2.814 2.332
Dy -6.945 5.677 4.705
Mg -3.615 0.946 -1.041
Mg 0.096 3.722 1.087
Mg -1.675 -0.422 3.473
Mg -2.253 1.724 5.467
Mg -6.027 1.044 0.716
Mg -2.108 5.723 0.855
Mg -4.553 0.003 4.147
Mg -4.929 3.613 -0.763
Mg -0.906 4.875 3.653
Mg -3.215 4.597 5.598
Mg -6.852 1.877 3.513
Mg -5.116 5.938 1.175
Mg -7.172 3.894 1.439
Mg -3.536 6.614 3.525
Mg -5.272 2.553 5.862
```

No. 3
A plane-wave DFT calculation with GGA-PBE was carried out for crystalline Ca5PaRh4 at its relaxed geometry.

Summary:
- DFT total energy: -5.393 eV per atom
- Symmetry: No. 12
- Spin magnetization: 0.0 μB per formula unit
- Calculated formation energy: -0.502 eV per atom

Structure (extended XYZ):
```
10
Lattice="-3.402 0.993 -2.888 1.325 -6.117 -3.664 -3.747 -2.434 7.195" Properties=species:S:1:pos:R:3 pbc="T T T"
Ca -1.788 -0.995 1.764
Ca -1.098 -4.012 -0.085
Ca -4.725 -3.547 0.729
Ca -1.038 -2.562 -3.276
Ca -4.036 -6.564 -1.120
Pa -1.701 0.496 -1.444
Rh -2.821 -1.677 -0.871
Rh -6.040 -6.233 1.354
Rh -3.002 -5.882 1.514
Rh 0.216 -1.326 -0.710
```

No. 4
A plane-wave DFT calculation with GGA-PBE was carried out for crystalline AcIn15Bi4 at its relaxed geometry.

Summary:
- DFT total energy: -3.080 eV per atom
- Symmetry: No. 123
- Spin magnetization: 0.0 μB per formula unit
- Calculated formation energy: -0.045 eV per atom

Structure (extended XYZ):
```
20
Lattice="4.985 0.000 0.000 0.000 4.985 0.000 0.000 0.000 23.545" Properties=species:S:1:pos:R:3 pbc="T T T"
Ac 0.000 0.000 0.000
In 2.492 2.492 0.000
In 2.492 2.492 4.893
In 2.492 2.492 9.484
In 2.492 2.492 14.062
In 2.492 2.492 18.652
In 2.492 0.000 2.457
In 2.492 0.000 7.110
In 2.492 0.000 11.773
In 2.492 0.000 16.435
In 2.492 0.000 21.089
In 0.000 2.492 2.457
In 0.000 2.492 7.110
In 0.000 2.492 11.773
In 0.000 2.492 16.435
In 0.000 2.492 21.089
Bi 0.000 0.000 4.579
Bi 0.000 0.000 9.387
Bi 0.000 0.000 14.158
Bi 0.000 0.000 18.966
```

Copy entry 4 word for word.
A plane-wave DFT calculation with GGA-PBE was carried out for crystalline AcIn15Bi4 at its relaxed geometry.

Summary:
- DFT total energy: -3.080 eV per atom
- Symmetry: No. 123
- Spin magnetization: 0.0 μB per formula unit
- Calculated formation energy: -0.045 eV per atom

Structure (extended XYZ):
```
20
Lattice="4.985 0.000 0.000 0.000 4.985 0.000 0.000 0.000 23.545" Properties=species:S:1:pos:R:3 pbc="T T T"
Ac 0.000 0.000 0.000
In 2.492 2.492 0.000
In 2.492 2.492 4.893
In 2.492 2.492 9.484
In 2.492 2.492 14.062
In 2.492 2.492 18.652
In 2.492 0.000 2.457
In 2.492 0.000 7.110
In 2.492 0.000 11.773
In 2.492 0.000 16.435
In 2.492 0.000 21.089
In 0.000 2.492 2.457
In 0.000 2.492 7.110
In 0.000 2.492 11.773
In 0.000 2.492 16.435
In 0.000 2.492 21.089
Bi 0.000 0.000 4.579
Bi 0.000 0.000 9.387
Bi 0.000 0.000 14.158
Bi 0.000 0.000 18.966
```